HfMgZnCo: optimized geometry, GGA-PBE.

```
HfMgZnCo
1.0
4.4835 0.0000 0.0000
2.2417 3.8828 0.0000
2.2417 1.2943 3.6607
Co Hf Mg Zn
1 1 1 1
Direct
0.5000 0.5000 0.5000
0.2500 0.2500 0.2500
0.7500 0.7500 0.7500
0.0000 0.0000 0.0000
```

Calculated values
DOS(E_F), states/eV per cell: 3.7
DFT formation energy, meV per atom: -131
Symmetry: F-43m (216)
Magnetization, μB per atom: 0.000

BaGeTe2: optimized geometry, GGA-PBE.

```
BaGeTe2
1.0
6.5002 -0.0010 1.9568
-0.1531 6.3046 0.5233
1.3469 -3.7473 7.2951
Ge Ba Te
2 2 4
Direct
0.2963 0.1651 0.0315
0.2967 0.7181 0.0315
0.3325 0.1799 0.5066
0.8074 0.7051 0.5568
0.7238 0.3374 0.8215
0.2206 0.7923 0.7311
0.5135 0.5477 0.2419
0.9202 0.0927 0.3322
```

Calculated values
Symmetry: Cm (8)
Uncorrected formation energy, eV/f.u.: -2.90
Magnetization, μB per atom: 0.000

Cs2ErGe2O6: optimized geometry, GGA-PBE.

```
Cs2ErGe2O6
1.0
6.1684 0.0000 0.0000
-3.0842 5.3379 -0.2093
0.0000 -3.3172 6.2499
Cs O Er Ge
2 6 1 2
Direct
0.7202 0.4404 0.1607
0.2798 0.5596 0.8393
0.7441 0.9689 0.7126
0.2561 0.5122 0.2879
0.2559 0.0311 0.2874
0.7752 0.0311 0.2874
0.7439 0.4878 0.7121
0.2248 0.9689 0.7126
0.5000 0.0000 0.5000
0.9248 0.8495 0.7741
0.0752 0.1505 0.2259
```

Calculated values
DOS(E_F), states/eV per cell: 1.4
Symmetry: R-3m (166)
Uncorrected formation energy, eV/f.u.: -22.19
Magnetization, μB per atom: 0.084

Y2MgW: optimized geometry, GGA-PBE.

```
Y2MgW
1.0
4.3906 0.0000 0.0000
0.0000 4.3906 0.0000
2.1953 2.1953 10.3747
Y Mg W
4 2 2
Direct
0.3750 0.3592 0.7500
0.6408 0.1250 0.2500
0.8750 0.8908 0.7500
0.1092 0.6250 0.2500
0.2500 0.7500 0.5000
0.5000 0.5000 0.0000
0.0000 0.0000 0.0000
0.7500 0.2500 0.5000
```

Calculated values
DOS(E_F), states/eV per cell: 7.4
DFT formation energy, meV per atom: 1012
Symmetry: I-42d (122)
Magnetization, μB per atom: 0.000

CaAlRuN2: optimized geometry, GGA-PBE.

```
CaAlRuN2
1.0
-3.9092 1.5903 0.7727
-2.2240 -4.8523 -1.2651
0.3167 -1.2148 4.1027
Ru N Ca Al
1 2 1 1
Direct
0.0000 0.5000 0.0000
0.5000 0.0000 0.0000
0.0000 0.0000 0.5000
0.0000 0.0000 0.0000
0.5000 0.5000 0.5000
```

Calculated values
DOS(E_F), states/eV per cell: 5.4
Symmetry: P4/mmm (123)
Uncorrected formation energy, eV/f.u.: 10.13
Magnetization, μB per atom: 1.013

Ac2Pr3DySe6: optimized geometry, GGA-PBE.

```
Ac2Pr3DySe6
1.0
7.4717 -0.0097 -0.0055
-3.7425 6.4669 -0.0055
-1.2496 -2.1636 7.0077
Se Pr Dy Ac
6 3 1 2
Direct
0.0818 0.3993 0.2484
0.2304 0.2304 0.7432
0.9182 0.6007 0.7516
0.7696 0.7696 0.2568
0.3993 0.0818 0.2484
0.6007 0.9182 0.7516
0.1743 0.8257 0.5000
0.5000 0.5000 0.5000
0.8257 0.1743 0.5000
0.0000 0.0000 0.0000
0.3346 0.6654 0.0000
0.6654 0.3346 0.0000
```

Calculated values
DOS(E_F), states/eV per cell: 5.9
Symmetry: C2/m (12)
Uncorrected formation energy, eV/f.u.: -21.86
Magnetization, μB per atom: 0.000

RbLiTl2Cl4: optimized geometry, GGA-PBE.

```
RbLiTl2Cl4
1.0
8.9427 0.0414 0.0211
0.0351 8.9427 0.0211
-4.4118 -4.4149 6.3427
Cl Tl Li Rb
8 4 2 2
Direct
0.2503 0.2472 0.0002
0.7472 0.7503 0.5002
0.8029 0.1932 0.9980
0.1972 0.8068 0.0020
0.3068 0.6971 0.5020
0.6932 0.3028 0.4980
0.2528 0.2497 0.4998
0.7497 0.7528 0.9998
0.5000 0.0000 0.5000
0.5000 0.0000 0.0000
0.0000 0.0000 0.5000
0.5000 0.5000 0.0000
0.0000 0.0000 0.0000
0.5000 0.5000 0.5000
0.0000 0.5000 0.5000
0.0000 0.5000 0.0000
```

Calculated values
DOS(E_F), states/eV per cell: 0.0
Symmetry: C2/c (15)
Uncorrected formation energy, eV/f.u.: -10.97
Magnetization, μB per atom: 0.000

Zr2TaP: optimized geometry, GGA-PBE.

```
Zr2TaP
1.0
-5.0736 4.3227 -5.0957
-3.4111 2.3629 -7.2921
-6.1012 1.1489 -5.6434
P Ta Zr
1 1 2
Direct
0.5039 0.5039 0.5039
0.2323 0.2323 0.2323
0.9967 0.9967 0.9967
0.7671 0.7671 0.7671
```

Calculated values
DOS(E_F), states/eV per cell: 4.3
DFT formation energy, meV per atom: -398
Symmetry: R3m (160)
Magnetization, μB per atom: 0.000

USi2TcRu: optimized geometry, GGA-PBE.

```
USi2TcRu
1.0
-0.9852 3.8775 1.2692
-2.9106 0.2471 -3.0140
-1.2853 -3.8576 3.8474
Tc Ru U Si
1 1 1 2
Direct
0.7500 0.2500 0.5000
0.2500 0.7500 0.5000
0.0000 0.0000 0.0000
0.6271 0.6271 0.2541
0.3729 0.3729 0.7459
```

Calculated values
DOS(E_F), states/eV per cell: 4.3
Symmetry: I-4m2 (119)
Uncorrected formation energy, eV/f.u.: -2.80
Magnetization, μB per atom: 0.378

LiGaSb2: optimized geometry, GGA-PBE.

```
LiGaSb2
1.0
3.1953 0.0000 0.0000
0.0000 3.1953 0.0000
0.0000 0.0000 9.0902
Ga Sb Li
1 2 1
Direct
0.5000 0.5000 0.5000
0.0000 0.0000 0.7669
0.0000 0.0000 0.2331
0.5000 0.5000 0.0000
```

Calculated values
DOS(E_F), states/eV per cell: 0.5
Symmetry: P4/mmm (123)
Uncorrected formation energy, eV/f.u.: -0.55
Magnetization, μB per atom: 0.000

SrMgSN2: optimized geometry, GGA-PBE.

```
SrMgSN2
1.0
-3.3436 -1.0903 -2.4422
0.9106 -4.1402 0.6016
-2.9462 -0.0581 4.0596
N S Sr Mg
2 1 1 1
Direct
0.5000 0.0000 0.0000
0.0000 0.5000 0.0000
0.0000 0.0000 0.5000
0.5000 0.5000 0.5000
0.0000 0.0000 0.0000
```

Calculated values
DOS(E_F), states/eV per cell: 1.7
Energy above the most stable polymorph in this dataset, eV per atom: 0.000
Symmetry: P4/mmm (123)
Uncorrected formation energy, eV/f.u.: 0.94
Magnetization, μB per atom: 0.801

EuDy2In: optimized geometry, GGA-PBE.

```
EuDy2In
1.0
3.6454 0.0000 0.0000
0.0000 3.6454 0.0000
0.0000 0.0000 9.4385
Eu In Dy
1 1 2
Direct
0.5000 0.5000 0.5000
0.5000 0.5000 0.0000
0.0000 0.0000 0.7894
0.0000 0.0000 0.2106
```

Calculated values
DOS(E_F), states/eV per cell: 4.1
Energy above the most stable polymorph in this dataset, eV per atom: 0.035
DFT formation energy, meV per atom: -176
Symmetry: P4/mmm (123)
Magnetization, μB per atom: 1.884

CeSm2In2: optimized geometry, GGA-PBE.

```
CeSm2In2
1.0
-3.9002 -2.5903 -1.0677
-0.2088 -5.5161 3.3454
-6.8741 2.5286 8.2116
Sm Ce In
4 2 4
Direct
0.1419 0.7136 0.5028
0.6421 0.2135 0.0026
0.3579 0.7865 0.9974
0.8581 0.2864 0.4972
0.2505 0.2492 0.7497
0.7495 0.7508 0.2503
0.5806 0.6221 0.7167
0.9200 0.8766 0.7835
0.0800 0.1234 0.2165
0.4194 0.3779 0.2833
```

Calculated values
DOS(E_F), states/eV per cell: 17.8
DFT formation energy, meV per atom: -194
Symmetry: P-1 (2)
Magnetization, μB per atom: 0.215

Pm6Dy2Y3Er: optimized geometry, GGA-PBE.

```
Pm6Dy2Y3Er
1.0
6.2500 -0.0002 0.0081
-3.1237 5.4134 0.0081
-1.0532 -1.8236 11.6587
Y Pm Er Dy
3 6 1 2
Direct
0.5000 0.5000 0.5000
0.8334 0.1666 0.5000
0.1666 0.8334 0.5000
0.2498 0.2498 0.7512
0.7502 0.7502 0.2488
0.9167 0.5836 0.7513
0.4164 0.0833 0.2487
0.5836 0.9167 0.7513
0.0833 0.4164 0.2487
0.0000 0.0000 0.0000
0.6667 0.3333 0.0000
0.3333 0.6667 0.0000
```

Calculated values
DOS(E_F), states/eV per cell: 14.3
DFT formation energy, meV per atom: 12
Symmetry: C2/m (12)
Magnetization, μB per atom: 0.000

CaPOsO6: optimized geometry, GGA-PBE.

```
CaPOsO6
1.0
5.0205 0.0000 0.0000
0.0000 4.9626 0.0000
0.0000 -2.4813 4.2978
O Os P Ca
6 1 1 1
Direct
0.6970 0.9810 0.2771
0.6970 0.7229 0.7039
0.6970 0.2961 0.0190
0.3030 0.9810 0.7039
0.3030 0.7229 0.0190
0.3030 0.2961 0.2771
0.5000 0.6667 0.3333
0.5000 0.0000 0.0000
0.0000 0.3333 0.6667
```

Calculated values
DOS(E_F), states/eV per cell: 2.2
Symmetry: P312 (149)
Uncorrected formation energy, eV/f.u.: -16.62
Magnetization, μB per atom: 0.326